A:
GdLuTl2 PBE-GGA optimized geometry; volume = 26.971 Å³/atom; magnetization = 7.61 μB per formula unit; D(E_F) = 2.5 states/eV/cell
1.0
4.299 0.000 0.000
0.000 5.009 0.000
0.000 0.000 5.009
Gd Tl Lu
1 2 1
Cartesian
2.150 0.000 0.000
0.000 0.000 2.505
0.000 2.505 0.000
2.150 2.505 2.505


B:
GdLuTl2 PBE-GGA optimized geometry; volume = 26.903 Å³/atom; magnetization = 7.26 μB per formula unit; D(E_F) = 2.2 states/eV/cell
1.0
-0.959 2.091 2.746
-2.305 -2.509 1.106
6.014 -3.444 4.721
Gd Tl Lu
1 2 1
Cartesian
1.375 -1.931 4.287
4.553 -2.607 3.574
1.461 -0.837 1.147
-1.632 -0.209 1.926


Relative energy of each structure, in kJ/mol of atoms: A 1.5; B 0.0.


A:
GdLuTl PBE-GGA optimized geometry; volume = 29.312 Å³/atom; magnetization = 7.56 μB per formula unit; D(E_F) = 2.7 states/eV/cell
1.0
-3.580 0.070 0.998
-1.248 -2.718 -4.286
1.186 -2.506 4.430
Gd Tl Lu
1 1 1
Cartesian
-3.559 0.070 0.992
-1.484 -2.540 2.043
-2.179 -2.613 -0.895


B:
GdLuTl PBE-GGA optimized geometry; volume = 28.756 Å³/atom; magnetization = 7.81 μB per formula unit; D(E_F) = 3.7 states/eV/cell
1.0
3.614 0.000 0.000
0.000 3.614 0.000
-1.807 -1.807 6.606
Tl Gd Lu
1 1 1
Cartesian
1.807 1.807 2.252
0.000 0.000 0.094
0.000 0.000 4.261


C:
GdLuTl PBE-GGA optimized geometry; volume = 32.262 Å³/atom; magnetization = 7.74 μB per formula unit; D(E_F) = 4.5 states/eV/cell
1.0
-4.737 -0.088 2.028
-2.853 -4.281 -0.301
-0.937 -2.776 4.240
Gd Tl Lu
1 1 1
Cartesian
-4.264 -3.572 2.983
-2.132 -1.786 1.492
0.000 0.000 0.000


Relative energy of each structure, in kJ/mol of atoms: A 6.6; B 0.0; C 17.3.


A:
Gd2LuTl PBE-GGA optimized geometry; volume = 32.282 Å³/atom; magnetization = 14.83 μB per formula unit; D(E_F) = 3.9 states/eV/cell
1.0
-3.396 0.573 -0.730
-1.501 -1.591 -2.759
-4.705 -9.612 5.854
Gd Tl Lu
2 1 1
Cartesian
-3.880 -7.123 3.971
-5.722 -3.507 -1.605
0.000 0.000 0.000
-4.801 -5.315 1.183


B:
Gd2LuTl PBE-GGA optimized geometry; volume = 29.473 Å³/atom; magnetization = 15.21 μB per formula unit; D(E_F) = 4.7 states/eV/cell
1.0
-3.585 1.395 -1.557
-1.702 -0.152 3.782
2.003 6.442 1.160
Gd Tl Lu
2 1 1
Cartesian
1.519 4.884 0.879
0.484 1.558 0.280
-2.643 0.622 1.112
-1.642 3.843 1.692


C:
Gd2LuTl PBE-GGA optimized geometry; volume = 28.411 Å³/atom; magnetization = 15.59 μB per formula unit; D(E_F) = 3.6 states/eV/cell
1.0
-3.806 -0.445 -3.035
-1.875 -3.407 2.851
-2.375 3.384 2.482
Gd Tl Lu
2 1 1
Cartesian
-1.187 1.692 1.241
-0.937 -1.703 1.425
-1.903 -0.223 -1.517
-4.028 -0.234 1.149


D:
Gd2LuTl PBE-GGA optimized geometry; volume = 28.783 Å³/atom; magnetization = 15.64 μB per formula unit; D(E_F) = 4.4 states/eV/cell
1.0
-2.899 4.623 0.211
-1.632 2.412 -4.619
-5.285 -0.026 -1.374
Tl Gd Lu
1 2 1
Cartesian
-4.908 3.504 -2.891
-2.454 1.752 -1.446
-7.362 5.256 -4.337
0.000 0.000 0.000


Relative energy of each structure, in kJ/mol of atoms: A 27.3; B 6.5; C 0.0; D 11.1.